Entry 1:
# SiGeN2O | Alexandria via LeMat-Bulk | meta-GGA SCAN | single point on PBEsol structure
data_SiGeN2O
_space_group_name_H-M_alt 'P 1'
_space_group_IT_number 1
_space_group_name_Hall 'P 1'
_cell_length_a 3.671
_cell_length_b 3.671
_cell_length_c 3.466
_cell_angle_alpha 90.00
_cell_angle_beta 90.00
_cell_angle_gamma 90.00
loop_
_atom_site_label
_atom_site_type_symbol
_atom_site_fract_x
_atom_site_fract_y
_atom_site_fract_z
Si1 Si 0.000 0.000 0.000
Ge1 Ge 0.500 0.500 0.500
N1 N 0.000 0.500 0.000
N2 N 0.500 0.000 0.000
O1 O 0.000 0.000 0.500
# formation energy from raw total energies: -0.06 eV/atom

=====

Entry 2:
# SiGeN2O | Alexandria via LeMat-Bulk | meta-GGA SCAN | single point on PBEsol structure
data_SiGeN2O
_space_group_name_H-M_alt 'P 1'
_space_group_IT_number 1
_space_group_name_Hall 'P 1'
_cell_length_a 5.356
_cell_length_b 5.356
_cell_length_c 4.993
_cell_angle_alpha 90.26
_cell_angle_beta 90.26
_cell_angle_gamma 116.50
loop_
_atom_site_label
_atom_site_type_symbol
_atom_site_fract_x
_atom_site_fract_y
_atom_site_fract_z
Si1 Si 0.174 0.826 0.000
Si2 Si 0.826 0.174 0.000
Ge1 Ge 0.517 0.873 0.495
Ge2 Ge 0.873 0.517 0.495
N1 N 0.184 0.781 0.660
N2 N 0.505 0.959 0.141
N3 N 0.781 0.184 0.660
N4 N 0.959 0.505 0.141
O1 O 0.036 0.036 0.075
O2 O 0.581 0.581 0.549
# formation energy from raw total energies: -1.26 eV/atom

=====

no.,total DFT energy (no corrections) (eV/atom)
1,-10.84
2,-12.04